Here is CsKH2 after structural relaxation from Alexandria. Energies are from PBE.

Properties
- energy (eV for the cell shown) = -9.3
- V (Å³/f.u.) = 107

Unit cell a=4.138 b=4.138 c=7.598 alpha=74.20 beta=74.20 gamma=60.00
Fractional positions:
Cs  0.499  0.499  0.504
K  0.668  0.668  0.996
H  0.075  0.075  0.775
H  0.258  0.258  0.225